This record from Alexandria via LeMat-Bulk describes a relaxed structure of Li2TeOs. The functional is PBE.

Results
Raw formation energy: 0.26 eV/atom
DOS(E_F): 0.61 states/eV/atom
DFT total energy: -4.29 eV per atom
Total magnetic moment: 0.00 μB per formula unit

a = 2.848 Å, b = 2.848 Å, c = 9.116 Å
α = 90.00°, β = 90.00°, γ = 106.27°
Sites, in units of the cell vectors:
Li: 0.000 0.000 0.468
Li: 0.000 0.000 0.032
Te: 0.500 0.500 0.750
Os: 0.500 0.500 0.250


This record from Alexandria via LeMat-Bulk describes a relaxed structure of LiTe2Os. The functional is PBE.

Results
Raw formation energy: -0.07 eV/atom
DOS(E_F): 1.38 states/eV/atom
DFT total energy: -4.93 eV per atom
Total magnetic moment: 0.00 μB per formula unit

a = 6.887 Å, b = 6.887 Å, c = 6.887 Å
α = 34.15°, β = 34.15°, γ = 34.15°
Sites, in units of the cell vectors:
Os: 0.750 0.750 0.750
Li: 0.250 0.250 0.250
Te: 0.486 0.486 0.486
Te: 0.014 0.014 0.014


This record from Alexandria via LeMat-Bulk describes a relaxed structure of LiTe3Os. The functional is PBE.

Results
Raw formation energy: 0.47 eV/atom
Energy relative to the lowest polymorph listed for this composition: 0.00 eV per formula unit
DOS(E_F): 1.08 states/eV/atom
DFT total energy: -4.05 eV per atom
Total magnetic moment: 0.00 μB per formula unit

a = 5.318 Å, b = 5.318 Å, c = 5.318 Å
α = 90.00°, β = 90.00°, γ = 90.00°
Sites, in units of the cell vectors:
Te: 0.000 0.000 0.500
Te: 0.000 0.500 0.000
Te: 0.500 0.000 0.000
Li: 0.500 0.500 0.500
Os: 0.000 0.000 0.000


This record from Alexandria via LeMat-Bulk describes a relaxed structure of Li2TeOs. The functional is PBE.

Results
Raw formation energy: 0.04 eV/atom
DOS(E_F): 0.65 states/eV/atom
DFT total energy: -4.51 eV per atom
Total magnetic moment: 0.00 μB per formula unit

a = 4.417 Å, b = 4.417 Å, c = 4.417 Å
α = 60.00°, β = 60.00°, γ = 60.00°
Sites, in units of the cell vectors:
Os: 0.500 0.500 0.500
Li: 0.000 0.000 0.000
Li: 0.250 0.250 0.250
Te: 0.750 0.750 0.750


This record from Alexandria via LeMat-Bulk describes a relaxed structure of Li2TeOs. The functional is PBE.

Results
Raw formation energy: 0.23 eV/atom
DOS(E_F): 0.49 states/eV/atom
DFT total energy: -4.32 eV per atom
Total magnetic moment: 0.40 μB per formula unit

a = 9.241 Å, b = 9.241 Å, c = 9.241 Å
α = 18.43°, β = 18.43°, γ = 18.43°
Sites, in units of the cell vectors:
Os: 0.250 0.250 0.250
Li: 0.507 0.507 0.507
Li: 0.993 0.993 0.993
Te: 0.750 0.750 0.750


This record from Alexandria via LeMat-Bulk describes a relaxed structure of Li2TeOs. The functional is PBE.

Results
Raw formation energy: 0.30 eV/atom
DOS(E_F): 0.72 states/eV/atom
DFT total energy: -4.25 eV per atom
Total magnetic moment: 0.84 μB per formula unit

a = 2.861 Å, b = 2.861 Å, c = 8.990 Å
α = 90.00°, β = 90.00°, γ = 90.00°
Sites, in units of the cell vectors:
Os: 0.500 0.500 0.250
Te: 0.500 0.500 0.750
Li: 0.000 0.000 0.459
Li: 0.000 0.000 0.041


This record from Alexandria via LeMat-Bulk describes a relaxed structure of LiTe2Os. The functional is PBE.

Results
Raw formation energy: 0.03 eV/atom
DOS(E_F): 0.41 states/eV/atom
DFT total energy: -4.83 eV per atom
Total magnetic moment: 0.00 μB per formula unit

a = 3.302 Å, b = 3.302 Å, c = 7.842 Å
α = 90.00°, β = 90.00°, γ = 90.00°
Sites, in units of the cell vectors:
Li: 0.000 0.000 0.533
Te: 0.500 0.500 0.355
Te: 0.000 0.000 0.898
Os: 0.500 0.500 0.715


This record from Alexandria via LeMat-Bulk describes a relaxed structure of LiTe2Os. The functional is PBE.

Results
Raw formation energy: 0.06 eV/atom
DOS(E_F): 0.65 states/eV/atom
DFT total energy: -4.80 eV per atom
Total magnetic moment: 0.00 μB per formula unit

a = 4.638 Å, b = 4.638 Å, c = 6.765 Å
α = 81.39°, β = 81.39°, γ = 41.16°
Sites, in units of the cell vectors:
Li: 0.499 0.499 0.476
Te: 0.991 0.991 0.124
Te: 0.750 0.750 0.612
Os: 0.260 0.260 0.287


This record from Alexandria via LeMat-Bulk describes a relaxed structure of LiTe2Os. The functional is PBE.

Results
Raw formation energy: 0.01 eV/atom
DOS(E_F): 1.34 states/eV/atom
DFT total energy: -4.84 eV per atom
Total magnetic moment: 0.00 μB per formula unit

a = 8.436 Å, b = 8.436 Å, c = 8.436 Å
α = 27.42°, β = 27.42°, γ = 27.42°
Sites, in units of the cell vectors:
Te: 0.890 0.890 0.890
Te: 0.110 0.110 0.110
Li: 0.000 0.000 0.000
Os: 0.500 0.500 0.500


This record from Alexandria via LeMat-Bulk describes a relaxed structure of LiTe2Os. The functional is PBE.

Results
Raw formation energy: 0.06 eV/atom
DOS(E_F): 0.41 states/eV/atom
DFT total energy: -4.79 eV per atom
Total magnetic moment: 0.00 μB per formula unit

a = 4.157 Å, b = 4.159 Å, c = 5.776 Å
α = 90.01°, β = 90.00°, γ = 90.00°
Sites, in units of the cell vectors:
Os: 0.500 0.875 0.625
Te: 0.500 0.375 0.351
Te: 0.000 0.875 0.899
Li: 0.000 0.375 0.625


This record from Alexandria via LeMat-Bulk describes a relaxed structure of Li2TeOs. The functional is PBE.

Results
Raw formation energy: 0.13 eV/atom
DOS(E_F): 0.43 states/eV/atom
DFT total energy: -4.42 eV per atom
Total magnetic moment: 0.00 μB per formula unit

a = 3.199 Å, b = 3.674 Å, c = 5.708 Å
α = 90.00°, β = 90.00°, γ = 90.00°
Sites, in units of the cell vectors:
Li: 0.500 0.500 0.249
Li: 0.000 0.000 0.019
Te: 0.500 0.500 0.721
Os: 0.000 0.000 0.511


This record from Alexandria via LeMat-Bulk describes a relaxed structure of LiTe2Os. The functional is PBE.

Results
Raw formation energy: 0.82 eV/atom
DOS(E_F): 1.16 states/eV/atom
DFT total energy: -4.04 eV per atom
Total magnetic moment: 0.81 μB per formula unit

a = 4.853 Å, b = 4.853 Å, c = 4.853 Å
α = 60.00°, β = 60.00°, γ = 60.00°
Sites, in units of the cell vectors:
Os: 0.250 0.250 0.250
Te: 0.750 0.750 0.750
Te: 0.000 0.000 0.000
Li: 0.500 0.500 0.500